Pr2Dy2Y5: optimized geometry, PBE.

Structure (POSCAR):
```
Pr2Dy2Y5
1.0
-7.512 5.944 3.401
7.512 -5.944 3.401
7.512 5.944 -3.401
Pr Dy Y
4 4 10
direct
0.000 0.000 0.000
0.000 0.500 0.500
0.089 0.847 0.741
0.106 0.347 0.259
0.544 0.674 0.123
0.544 0.920 0.370
0.550 0.174 0.630
0.550 0.420 0.877
0.120 0.028 0.377
0.120 0.243 0.592
0.142 0.639 0.003
0.437 0.141 0.191
0.437 0.746 0.796
0.636 0.139 0.997
0.651 0.528 0.408
0.651 0.743 0.623
0.949 0.246 0.809
0.949 0.641 0.204
```

Results
For the formation energy, the calculation gives 192 kJ/mol of formula units. The relative energy among the computed polymorphs is 0.0 meV/atom.

TlBrN3: optimized geometry, PBE.

Structure (POSCAR):
```
TlBrN3
1.0
4.541 0.000 0.000
0.000 4.541 0.000
0.000 0.000 4.541
Tl Br N
1 1 3
direct
0.000 0.000 0.000
0.500 0.500 0.500
0.000 0.000 0.500
0.000 0.500 0.000
0.500 0.000 0.000
```

Results
For the formation energy without anion corrections, the calculation gives 246.9 kJ per mole of atoms.

Calculated M_tot, 0.000, 6.460 μB per formula unit (same order as the records).